No. 1
Entry from Alexandria via LeMat-Bulk: LiAlCr2 after structural relaxation (PBE-GGA).

SG: Imm2 (44)
E_form (meV per atom): 165
Total magnetization (μB/f.u.): 0.11
E_tot (eV per cell): -24.24

a b c (Å): 4.8320 4.8320 4.8320
angles (deg): 143.39 126.42 66.65
Positions (direct):
Li  0.0000  0.0000  0.0000
Al  0.2595  0.7595  0.5000
Cr  0.5333  0.5333  0.0000
Cr  0.7376  0.2376  0.5000



No. 2
Entry from Alexandria via LeMat-Bulk: CaAgPd after structural relaxation (PBE-GGA).

SG: C2/c (15)
E_form (meV per atom): -381
Excess energy over the best structure of this formula in the dataset (meV/atom): 131
Total magnetization (μB/f.u.): 0.00
E_tot (eV per cell): -22.38

a b c (Å): 5.8320 5.8320 5.2291
angles (deg): 116.43 116.43 68.41
Positions (direct):
Ca  0.0000  0.5000  0.0000
Ca  0.5000  0.0000  0.5000
Ag  0.1259  0.8741  0.7500
Ag  0.8741  0.1259  0.2500
Pd  0.5000  0.5000  0.0000
Pd  0.5000  0.5000  0.5000



No. 3
Entry from Alexandria via LeMat-Bulk: TlFe2Pd2 after structural relaxation (PBE-GGA).

SG: P4/mbm (127)
E_form (meV per atom): 164
Excess energy over the best structure of this formula in the dataset (meV/atom): 0
Total magnetization (μB/f.u.): 6.82
E_tot (eV per cell): -57.71

a b c (Å): 7.5551 7.5551 2.8741
angles (deg): 90.00 90.00 90.00
Positions (direct):
Tl  0.0000  0.0000  0.0000
Tl  0.5000  0.5000  0.0000
Fe  0.1612  0.3388  0.5000
Fe  0.3388  0.8388  0.5000
Fe  0.6612  0.1612  0.5000
Fe  0.8388  0.6612  0.5000
Pd  0.1319  0.6319  0.0000
Pd  0.3681  0.1319  0.0000
Pd  0.6319  0.8681  0.0000
Pd  0.8681  0.3681  0.0000



No. 4
Entry from Alexandria via LeMat-Bulk: RbLi after structural relaxation (PBE-GGA).

SG: P-1 (2)
E_form (meV per atom): 137
Total magnetization (μB/f.u.): 0.00
E_tot (eV per cell): -5.22

a b c (Å): 4.3241 4.3251 10.9700
angles (deg): 89.94 89.76 89.99
Positions (direct):
Rb  0.2442  0.2484  0.3051
Rb  0.7558  0.7516  0.6949
Li  0.2508  0.2502  0.9604
Li  0.7492  0.7498  0.0396



No. 5
Entry from Alexandria via LeMat-Bulk: Ba2HoTlS5 after structural relaxation (PBE-GGA).

ΔE_f (raw) (eV/f.u.): -14.22
SG: Cmc2_1 (36)
Total magnetization (μB/f.u.): 0.00
E_tot (eV per cell): -91.30

a b c (Å): 9.4050 9.4050 13.0292
angles (deg): 90.00 90.00 154.45
Positions (direct):
Ba  0.1182  0.8818  0.5000
Ba  0.1365  0.8635  0.1282
Ba  0.8635  0.1365  0.6282
Ba  0.8818  0.1182  0.0000
Ho  0.2121  0.7879  0.8330
Ho  0.7879  0.2121  0.3330
Tl  0.4549  0.5451  0.2613
Tl  0.5451  0.4549  0.7613
S  0.0544  0.9456  0.8763
S  0.2899  0.7101  0.4693
S  0.3130  0.6870  0.1908
S  0.3550  0.6450  0.8179
S  0.4940  0.5060  0.5859
S  0.5060  0.4940  0.0859
S  0.6450  0.3550  0.3179
S  0.6870  0.3130  0.6908
S  0.7101  0.2899  0.9693
S  0.9456  0.0544  0.3763



No. 6
Entry from Alexandria via LeMat-Bulk: NaSrV after structural relaxation (PBE-GGA).

SG: P6_3/mmc (194)
E_form (meV per atom): 838
Excess energy over the best structure of this formula in the dataset (meV/atom): 446
Total magnetization (μB/f.u.): 4.60
E_tot (eV per cell): -19.21

a b c (Å): 5.8454 5.8454 6.8177
angles (deg): 90.00 90.00 120.00
Positions (direct):
Na  0.0000  0.0000  0.0000
Na  0.0000  0.0000  0.5000
Sr  0.3333  0.6667  0.2500
Sr  0.6667  0.3333  0.7500
V  0.3333  0.6667  0.7500
V  0.6667  0.3333  0.2500



What did the sixth record say?
Entry from Alexandria via LeMat-Bulk: NaSrV after structural relaxation (PBE-GGA).

SG: P6_3/mmc (194)
E_form (meV per atom): 838
Excess energy over the best structure of this formula in the dataset (meV/atom): 446
Total magnetization (μB/f.u.): 4.60
E_tot (eV per cell): -19.21

a b c (Å): 5.8454 5.8454 6.8177
angles (deg): 90.00 90.00 120.00
Positions (direct):
Na  0.0000  0.0000  0.0000
Na  0.0000  0.0000  0.5000
Sr  0.3333  0.6667  0.2500
Sr  0.6667  0.3333  0.7500
V  0.3333  0.6667  0.7500
V  0.6667  0.3333  0.2500



Question: Which value of E_tot does entry 5 give?
Answer: -91.30 eV per cell